Record 1
A relaxed MgCrAs2 crystal. Source: Alexandria via LeMat-Bulk, functional GGA-PBEsol.

Total energy, eV for the cell shown: -22.11

Cell lengths 3.766, 3.766, 5.410 Å; angles 110.37, 110.37, 90.00 degrees
Element x y z (fractional)
As  0.000  0.000  0.000
As  0.750  0.250  0.500
Cr  0.500  0.500  0.000
Mg  0.250  0.750  0.500


Record 2
A relaxed Mg2CrAs crystal. Source: Alexandria via LeMat-Bulk, functional GGA-PBEsol.

Total energy, eV for the cell shown: -18.59

Cell lengths 4.045, 4.148, 4.148 Å; angles 90.00, 90.00, 90.00 degrees
Element x y z (fractional)
As  0.500  0.500  0.500
Cr  0.500  0.000  0.000
Mg  0.000  0.000  0.500
Mg  0.000  0.500  0.000


Record 3
A relaxed MgCrAs2 crystal. Source: Alexandria via LeMat-Bulk, functional GGA-PBEsol.

Total energy, eV for the cell shown: -22.18

Cell lengths 3.948, 4.732, 4.732 Å; angles 63.21, 65.35, 65.35 degrees
Element x y z (fractional)
As  0.231  0.769  0.769
As  0.769  0.231  0.231
Cr  0.500  0.000  0.000
Mg  0.000  0.500  0.500


Record 4
A relaxed MgCr2As crystal. Source: Alexandria via LeMat-Bulk, functional GGA-PBEsol.

Total energy, eV for the cell shown: -25.86

Cell lengths 4.276, 4.276, 4.276 Å; angles 60.00, 60.00, 60.00 degrees
Element x y z (fractional)
As  0.000  0.000  0.000
Cr  0.250  0.250  0.250
Cr  0.750  0.750  0.750
Mg  0.500  0.500  0.500


Record 5
A relaxed MgCrAs2O crystal. Source: Alexandria via LeMat-Bulk, functional GGA-PBEsol.

Total energy, eV for the cell shown: -28.50
Formation energy without anion corrections, eV per atom: -0.216

Cell lengths 3.790, 4.547, 4.547 Å; angles 90.00, 90.00, 90.00 degrees
Element x y z (fractional)
Cr  0.500  0.500  0.500
As  0.000  0.000  0.500
As  0.000  0.500  0.000
Mg  0.500  0.000  0.000
O  0.000  0.000  0.000


Record 6
A relaxed Mn2CrAs crystal. Source: Alexandria via LeMat-Bulk, functional GGA-PBEsol.

Total energy, eV for the cell shown: -34.98

Cell lengths 3.628, 3.629, 4.402 Å; angles 114.34, 114.34, 90.00 degrees
Element x y z (fractional)
Cr  0.500  0.000  0.000
As  0.000  0.500  0.000
Mn  0.750  0.750  0.500
Mn  0.250  0.250  0.500


Record 7
A relaxed Mn4CrAs crystal. Source: Alexandria via LeMat-Bulk, functional GGA-PBEsol.

Total energy, eV for the cell shown: -52.63

Cell lengths 4.600, 4.600, 4.600 Å; angles 60.00, 60.00, 60.00 degrees
Element x y z (fractional)
As  0.750  0.750  0.750
Cr  0.000  0.000  0.000
Mn  0.376  0.376  0.376
Mn  0.376  0.376  0.872
Mn  0.872  0.376  0.376
Mn  0.376  0.872  0.376


Record 8
A relaxed Mn2CrAs crystal. Source: Alexandria via LeMat-Bulk, functional GGA-PBEsol.

Total energy, eV for the cell shown: -34.83

Cell lengths 3.565, 3.565, 4.443 Å; angles 113.65, 113.65, 90.00 degrees
Element x y z (fractional)
As  0.500  0.500  0.000
Cr  0.250  0.750  0.500
Mn  0.000  0.000  0.000
Mn  0.750  0.250  0.500